VASP calculation (GGA-PBE) on PmEr4Ru2 after structural relaxation.

a b c (Å): 7.6857 6.3454 7.9469
angles (deg): 90.00 112.67 90.00
Closest atoms and distances in Å follow each position.
Space group P2_1/m (No. 11)
Asymmetric unit:
Pm1 0.0200 0.2500 0.1640 x2  1 Ru 2.85
Er1 0.2444 0.5006 0.5842 x4  4 Ru 2.90-3.03, 2 Er 3.16-3.18
Er2 0.3260 0.7500 0.2537 x2  2 Ru 2.72-2.86
Er3 0.3818 0.2500 0.0193 x2  2 Ru 2.72-2.81
Ru1 0.0238 0.2500 0.7355 x2  6 Er 2.72-3.03
Ru2 0.4157 0.2500 0.3734 x2  6 Er 2.72-2.96, 1 Pm 2.85

Values from the calculation:
**Calculated volume**: 357.61 Å³/cell
**Calculated formation energy**: -272 meV per atom

---

VASP calculation (GGA-PBE) on PmEr2Ru after structural relaxation.

a b c (Å): 7.3184 9.1691 6.3593
angles (deg): 90.00 90.00 90.00
Closest atoms and distances in Å follow each position.
Space group Pnma (No. 62)
Asymmetric unit:
Pm1 0.0401 0.2500 0.1312 x4  2 Ru 2.78-2.89
Er1 0.1761 0.0655 0.6667 x8  2 Ru 2.82-2.91
Ru1 0.1147 0.7500 0.4505 x4  2 Pm 2.78-2.89, 4 Er 2.82-2.91

Values from the calculation:
**Calculated volume**: 426.73 Å³/cell
**Offset from the most stable computed form**: 0.000 eV/atom
**Calculated formation energy**: -308 meV per atom

---

VASP calculation (GGA-PBE) on PmEr3Ru after structural relaxation.

a b c (Å): 5.3613 5.3613 5.3613
angles (deg): 90.00 90.00 90.00
Closest atoms and distances in Å follow each position.
Space group Pm-3m (No. 221)
Asymmetric unit:
Pm1 0.0000 0.0000 0.0000 x1  12 Er 3.79
Er1 0.0000 0.5000 0.5000 x3  2 Ru 2.68
Ru1 0.5000 0.5000 0.5000 x1  6 Er 2.68

Values from the calculation:
**Calculated volume**: 154.10 Å³/cell
**Offset from the most stable computed form**: 0.157 eV/atom
**Calculated formation energy**: -103 meV per atom

---

VASP calculation (GGA-PBE) on Pm2ErRu2 after structural relaxation.

a b c (Å): 4.3270 6.1746 8.9478
angles (deg): 90.00 90.00 90.00
Closest atoms and distances in Å follow each position.
Space group Immm (No. 71)
Asymmetric unit:
Pm1 0.0000 0.0000 0.1988 x4  6 Ru 3.11-3.21, 2 Er 3.46
Er1 0.0000 0.5000 0.0000 x2  4 Ru 2.78
Ru1 0.0000 0.2819 0.5000 x4  1 Ru 2.69, 2 Er 2.78

Values from the calculation:
**Calculated volume**: 239.06 Å³/cell
**Offset from the most stable computed form**: 0.000 eV/atom
**Calculated formation energy**: -246 meV per atom

---

VASP calculation (GGA-PBE) on PmEr3Ru2 after structural relaxation.

a b c (Å): 6.6840 6.6840 3.9597
angles (deg): 90.00 90.00 120.00
Closest atoms and distances in Å follow each position.
Space group P6/mmm (No. 191)
Asymmetric unit:
Pm1 0.0000 0.0000 0.0000 x1  6 Ru 3.86, 12 Er 3.88, 2 Pm 3.96
Er1 0.0000 0.5000 0.5000 x3  4 Ru 2.76
Ru1 0.3333 0.6667 0.0000 x2  6 Er 2.76

Values from the calculation:
**Calculated volume**: 153.20 Å³/cell
**Offset from the most stable computed form**: 0.148 eV/atom
**Calculated formation energy**: -178 meV per atom

---

VASP calculation (GGA-PBE) on PmEr2Ru after structural relaxation.

a b c (Å): 3.8932 12.0905 9.1032
angles (deg): 90.00 90.00 90.00
Closest atoms and distances in Å follow each position.
Space group Cmcm (No. 63)
Asymmetric unit:
Pm1 0.0000 0.0734 0.2500 x4  2 Ru 2.84
Er1 0.0000 0.3542 0.0687 x8  3 Ru 2.88-3.14
Ru1 0.0000 0.2557 0.7500 x4  2 Pm 2.84, 6 Er 2.88-3.14

Values from the calculation:
**Calculated volume**: 428.49 Å³/cell
**Offset from the most stable computed form**: 0.014 eV/atom
**Calculated formation energy**: -294 meV per atom

---

VASP calculation (GGA-PBE) on PmErRu after structural relaxation.

a b c (Å): 3.4263 6.8413 7.0436
angles (deg): 104.36 104.03 90.03
Closest atoms and distances in Å follow each position.
Space group P-1 (No. 2)
Asymmetric unit:
Pm1 0.1298 0.0673 0.2585 x2  4 Ru 2.98-2.99
Er1 0.1231 0.5609 0.2466 x2  4 Ru 2.89
Ru1 0.4988 0.2556 0.9977 x2  4 Er 2.89, 4 Pm 2.98-2.99

Values from the calculation:
**Calculated volume**: 154.85 Å³/cell
**Offset from the most stable computed form**: 0.006 eV/atom
**Calculated formation energy**: -279 meV per atom

---

VASP calculation (GGA-PBE) on PmEr3Ru after structural relaxation.

a b c (Å): 11.6819 8.4484 8.0684
angles (deg): 90.00 132.83 90.00
Closest atoms and distances in Å follow each position.
Space group C2/m (No. 12)
Asymmetric unit:
Pm1 0.0531 0.0000 0.3390 x4  1 Ru 2.69
Er1 0.0551 0.5000 0.2560 x4  1 Ru 2.64
Er2 0.2443 0.3017 0.7913 x8  1 Ru 2.65
Ru1 0.2468 0.5000 0.1090 x4  3 Er 2.64-2.65, 1 Pm 2.69

Values from the calculation:
**Calculated volume**: 584.00 Å³/cell
**Offset from the most stable computed form**: 0.054 eV/atom
**Calculated formation energy**: -205 meV per atom